Here is an optimized crystal structure of BaLiICl2 from the Alexandria database. Energies are from PBE.

The structure belongs to space group P4mm (No. 99); the cell edges are 4.9502, 4.9502 and 6.7100 Å and the angles 90.00°, 90.00° and 90.00°. The inequivalent atoms are Ba at (0.0000, 0.0000, 0.0000), Li at (0.5000, 0.5000, 0.3511), I at (0.5000, 0.5000, 0.7878) and Cl at (0.0000, 0.5000, 0.2748).

As for the uncorrected formation energy: -9.9 eV per formula unit. The density of states at the Fermi level is 0.00 states/eV per cell. The value obtained for the spin magnetization is 0.00 μB/f.u. As for the energy: -3.800 eV per atom.